PBE with a Hubbard U V2ZnO4, optimized geometry; electronic total energy = -6.989 eV per atom; theoretical density = 4.94 Mg/m³; density of states at the Fermi level = 0.416 states/eV per atom; crystal system = cubic; spin magnetization = 4.000 μB/f.u.
1.0
0.000 4.267 4.267
4.267 0.000 4.267
4.267 4.267 0.000
V Zn O
4 2 8
Direct
0.000 0.000 0.000 V
0.000 0.000 0.500 V
0.000 0.500 0.000 V
0.500 0.000 0.000 V
0.375 0.375 0.375 Zn
0.625 0.625 0.625 Zn
0.220 0.760 0.760 O
0.240 0.240 0.240 O
0.240 0.240 0.780 O
0.240 0.780 0.240 O
0.760 0.220 0.760 O
0.760 0.760 0.220 O
0.760 0.760 0.760 O
0.780 0.240 0.240 O